No. 1
# Nd12ErTm6

Crystalline Nd12ErTm6 at its relaxed geometry (PBE, Alexandria via LeMat-Bulk).

Structure (POSCAR):
```
Nd12ErTm6
1.0
-6.793 -0.436 -5.343
-3.651 -6.156 4.864
-4.249 5.942 4.638
Er Nd Tm
1 12 6
Cartesian
0.000 0.000 0.000 Er
-2.713 -2.218 0.822 Nd
-8.550 1.748 2.870 Nd
-3.355 0.877 -0.963 Nd
-5.579 0.419 3.720 Nd
-8.079 -1.817 3.978 Nd
-11.338 -1.527 5.122 Nd
-9.114 -1.068 0.438 Nd
-11.980 1.568 3.337 Nd
-12.322 -1.617 1.629 Nd
-2.370 0.968 2.530 Nd
-6.143 -2.397 1.289 Nd
-6.614 1.168 0.181 Nd
-8.534 0.653 6.206 Tm
-10.341 2.201 0.066 Tm
-6.158 -1.302 -2.047 Tm
-5.117 3.462 2.377 Tm
-4.352 -2.850 4.093 Tm
-9.576 -4.111 1.781 Tm
```

Summary:
E_tot: -4.53 eV/atom
Polymorph energy (0 for the lowest one): 112.9 meV/atom
ΔE_f: 132 meV per atom
Space-group type: R-3

No. 2
# Rb4TmNp3Se8

Crystalline Rb4TmNp3Se8 at its relaxed geometry (PBE, Alexandria via LeMat-Bulk).

Structure (POSCAR):
```
Rb4TmNp3Se8
1.0
8.564 0.000 0.000
0.000 9.370 0.560
-4.282 -4.280 6.058
Tm Se Np Rb
1 8 3 4
Cartesian
0.000 4.685 0.280 Tm
4.282 4.525 3.194 Se
-2.180 2.375 6.244 Se
0.000 0.565 3.424 Se
4.282 0.535 3.458 Se
2.102 2.714 0.374 Se
6.462 2.714 0.374 Se
2.180 2.375 6.244 Se
0.000 4.555 3.160 Se
2.141 2.545 3.309 Np
-2.141 2.545 3.309 Np
4.282 4.685 0.280 Np
2.141 -2.140 3.029 Rb
0.000 0.000 0.000 Rb
4.282 0.000 0.000 Rb
-2.141 -2.140 3.029 Rb
```

Summary:
E_tot: -6.04 eV/atom
Space-group type: R-3m
Raw formation energy: -1.351 eV per atom

No. 3
# Y3ErCo

Crystalline Y3ErCo at its relaxed geometry (PBE, Alexandria via LeMat-Bulk).

Structure (POSCAR):
```
Y3ErCo
1.0
-0.685 1.093 -7.030
-0.934 -6.967 1.292
-4.882 3.756 3.636
Er Co Y
2 2 6
Cartesian
-2.311 -5.382 0.057 Er
-4.190 3.264 -2.159 Er
-3.552 1.040 -0.063 Co
-2.949 -3.158 -2.040 Co
-2.041 1.692 -4.789 Y
-4.489 -0.338 -2.020 Y
-4.460 -3.810 2.686 Y
-1.684 -1.778 -3.808 Y
-4.817 -0.339 1.706 Y
-2.012 -1.780 -0.082 Y
```

Summary:
E_tot: -6.31 eV/atom
Polymorph energy (0 for the lowest one): 0.0 meV/atom
ΔE_f: -103 meV per atom
Space-group type: C2/m

No. 4
# Ca3Pr2PaBi6

Crystalline Ca3Pr2PaBi6 at its relaxed geometry (PBE, Alexandria via LeMat-Bulk).

Structure (POSCAR):
```
Ca3Pr2PaBi6
1.0
-3.428 2.628 -6.784
0.786 -7.893 1.331
-5.751 1.668 5.148
Bi Ca Pr Pa
6 3 2 1
Cartesian
-5.686 -4.424 1.066 Bi
-4.961 0.006 2.584 Bi
-1.352 -2.556 1.238 Bi
-7.041 -1.041 -1.543 Bi
-2.707 0.828 -1.371 Bi
-3.432 -3.603 -2.890 Bi
-5.572 1.636 -2.802 Ca
-2.821 -5.233 2.496 Ca
-4.196 -1.798 -0.153 Ca
-2.019 -0.889 -4.071 Pr
-0.623 -4.375 -1.383 Pr
0.000 0.000 0.000 Pa
```

Summary:
E_tot: -4.75 eV/atom
ΔE_f: -717 meV per atom
Space-group type: C2/m